First-principles (PBE) data for PuBi2PdO6 after structural relaxation, as listed in Alexandria.

Structure (POSCAR):
```
PuBi2PdO6
1.0
5.629 -2.798 0.000
5.629 2.798 0.000
-1.966 0.000 4.918
Pu Bi Pd O
1 2 1 6
Direct
0.000 0.000 0.000
0.250 0.250 0.771
0.750 0.750 0.229
0.500 0.500 0.500
0.154 0.648 0.197
0.176 0.176 0.322
0.352 0.846 0.803
0.648 0.154 0.197
0.824 0.824 0.678
0.846 0.352 0.803
```

Values from the calculation:
- E_form (uncorrected) (eV per formula unit) = -15.2
- density (g/cm³) = 9.26
- VASP energy (eV per atom) = -7.220
- N(E_F) (states/eV/f.u.) = 6.434
- total magnetic moment (μB/atom) = 0.40